Record 1
VASP calculation (PBE) on an optimized crystal structure of BeVSe3.

Lattice parameters (Å, degrees): 4.5582 4.5582 4.5582 90.00 90.00 90.00
Sites, in units of the cell vectors:
Be (0.0000, 0.0000, 0.0000)
V (0.5000, 0.5000, 0.5000)
Se (0.0000, 0.0000, 0.5000)
Se (0.0000, 0.5000, 0.0000)
Se (0.5000, 0.0000, 0.0000)

Output
Size of the total moment: 0.529 μB per atom
Space group: No. 221
Polymorph energy (0 for the lowest one): 0 meV per atom

=====

Record 2
VASP calculation (PBE) on an optimized crystal structure of Be3VSe.

Lattice parameters (Å, degrees): 4.3181 4.3181 4.3181 90.00 90.00 90.00
Sites, in units of the cell vectors:
Be (0.0000, 0.0000, 0.5000)
Be (0.0000, 0.5000, 0.0000)
Be (0.5000, 0.0000, 0.0000)
V (0.0000, 0.0000, 0.0000)
Se (0.5000, 0.5000, 0.5000)

Output
Size of the total moment: 0.000 μB per atom
Space group: No. 221
Polymorph energy (0 for the lowest one): 353 meV per atom

=====

Record 3
VASP calculation (PBE) on an optimized crystal structure of BeV3Se.

Lattice parameters (Å, degrees): 4.1462 4.1462 4.1462 90.00 90.00 90.00
Sites, in units of the cell vectors:
Be (0.0000, 0.0000, 0.0000)
V (0.0000, 0.0000, 0.5000)
V (0.0000, 0.5000, 0.0000)
V (0.5000, 0.0000, 0.0000)
Se (0.5000, 0.5000, 0.5000)

Output
Size of the total moment: 0.429 μB per atom
Space group: No. 221
Polymorph energy (0 for the lowest one): 0 meV per atom

=====

Record 4
VASP calculation (PBE) on an optimized crystal structure of BeVSe3.

Lattice parameters (Å, degrees): 4.8046 4.8046 4.8046 90.00 90.00 90.00
Sites, in units of the cell vectors:
Be (0.0000, 0.0000, 0.0000)
V (0.5000, 0.5000, 0.5000)
Se (0.0000, 0.5000, 0.5000)
Se (0.5000, 0.0000, 0.5000)
Se (0.5000, 0.5000, 0.0000)

Output
Size of the total moment: 0.000 μB per atom
Space group: No. 221
Polymorph energy (0 for the lowest one): 114 meV per atom

=====

Record 5
VASP calculation (PBE) on an optimized crystal structure of Be3VSe.

Lattice parameters (Å, degrees): 4.2598 4.2598 4.2598 90.00 90.00 90.00
Sites, in units of the cell vectors:
Be (0.0000, 0.0000, 0.5000)
Be (0.0000, 0.5000, 0.0000)
Be (0.5000, 0.0000, 0.0000)
V (0.5000, 0.5000, 0.5000)
Se (0.0000, 0.0000, 0.0000)

Output
Size of the total moment: 0.548 μB per atom
Space group: No. 221
Polymorph energy (0 for the lowest one): 0 meV per atom

=====

Record 6
VASP calculation (PBE) on an optimized crystal structure of BeV2Se2.

Lattice parameters (Å, degrees): 6.5966 6.5966 3.3766 90.00 90.00 90.00
Sites, in units of the cell vectors:
Be (0.0000, 0.0000, 0.0000)
Be (0.5000, 0.5000, 0.0000)
V (0.1413, 0.3587, 0.0000)
V (0.3587, 0.8587, 0.0000)
V (0.6413, 0.1413, 0.0000)
V (0.8587, 0.6413, 0.0000)
Se (0.1574, 0.6574, 0.5000)
Se (0.3426, 0.1574, 0.5000)
Se (0.6574, 0.8426, 0.5000)
Se (0.8426, 0.3426, 0.5000)

Output
Size of the total moment: 0.000 μB per atom
Space group: No. 127
Polymorph energy (0 for the lowest one): 0 meV per atom

=====

Record 7
VASP calculation (PBE) on an optimized crystal structure of BeV2Se2.

Lattice parameters (Å, degrees): 4.9078 4.9078 4.9078 120.57 120.57 89.01
Sites, in units of the cell vectors:
Be (0.0000, 0.0000, 0.0000)
V (0.3583, 0.3583, 0.0000)
V (0.6417, 0.6417, 0.0000)
Se (0.2500, 0.7500, 0.5000)
Se (0.7500, 0.2500, 0.5000)

Output
Size of the total moment: 0.108 μB per atom
Space group: No. 139
Polymorph energy (0 for the lowest one): 217 meV per atom

=====

Record 8
VASP calculation (PBE) on an optimized crystal structure of YBe2VSe.

Lattice parameters (Å, degrees): 4.8487 4.8487 5.1874 90.00 90.00 90.00
Sites, in units of the cell vectors:
Y (0.0000, 0.0000, 0.0000)
Be (0.0000, 0.5000, 0.0000)
Be (0.5000, 0.0000, 0.0000)
V (0.5000, 0.5000, 0.5000)
Se (0.0000, 0.0000, 0.5000)

Output
Size of the total moment: 0.154 μB per atom
Space group: No. 123

=====

Record 9
VASP calculation (PBE) on an optimized crystal structure of Be3WSe.

Lattice parameters (Å, degrees): 4.4010 4.4010 4.4010 90.00 90.00 90.00
Sites, in units of the cell vectors:
Be (0.0000, 0.0000, 0.5000)
Be (0.0000, 0.5000, 0.0000)
Be (0.5000, 0.0000, 0.0000)
W (0.0000, 0.0000, 0.0000)
Se (0.5000, 0.5000, 0.5000)

Output
Size of the total moment: 0.000 μB per atom
Space group: No. 221
Polymorph energy (0 for the lowest one): 139 meV per atom

=====

Record 10
VASP calculation (PBE) on an optimized crystal structure of Be3WSe.

Lattice parameters (Å, degrees): 4.1587 4.1587 4.1587 90.00 90.00 90.00
Sites, in units of the cell vectors:
Be (0.0000, 0.0000, 0.5000)
Be (0.0000, 0.5000, 0.0000)
Be (0.5000, 0.0000, 0.0000)
W (0.5000, 0.5000, 0.5000)
Se (0.0000, 0.0000, 0.0000)

Output
Size of the total moment: 0.240 μB per atom
Space group: No. 221
Polymorph energy (0 for the lowest one): 0 meV per atom

=====

Record 11
VASP calculation (PBE) on an optimized crystal structure of YBeSe.

Lattice parameters (Å, degrees): 4.6167 4.6167 4.6167 60.00 60.00 60.00
Sites, in units of the cell vectors:
Y (0.0000, 0.0000, 0.0000)
Be (0.5000, 0.5000, 0.5000)
Se (0.2500, 0.2500, 0.2500)

Output
Size of the total moment: 0.150 μB per atom
Space group: No. 216
Polymorph energy (0 for the lowest one): 495 meV per atom

=====

Record 12
VASP calculation (PBE) on an optimized crystal structure of Y2BeSe.

Lattice parameters (Å, degrees): 6.1913 6.1913 6.1913 145.70 138.61 54.81
Sites, in units of the cell vectors:
Y (0.0000, 0.0000, 0.0000)
Y (0.7410, 0.2410, 0.5000)
Be (0.2808, 0.7808, 0.5000)
Se (0.4301, 0.4301, 0.0000)

Output
Size of the total moment: 0.000 μB per atom
Space group: No. 44
Polymorph energy (0 for the lowest one): 325 meV per atom

=====

Energy relative to the elements, uncorrected (eV/atom)
0.32, 1.51, 0.61, 0.43, 1.15, -0.01, 0.21, 1.61, 1.56, 1.43, -0.04, -0.47
E (eV per atom)
-4.339, -3.249, -6.303, -4.225, -3.602, -5.798, -5.581, -3.696, -3.959, -4.098, -4.600, -5.502